Entry 1:
VASP calculation (GGA-PBE) on CaZr2Ni after structural relaxation.

Its relative energy among the computed polymorphs is 229 meV/atom. As for the energy: -6.071 eV per atom. For the magnetization, the calculation gives 0.033 μB per atom. The value obtained for the formation enthalpy at 0 K is 149 meV per atom.

It has space group Imm2 (No. 44), with a = 3.4351 Å, b = 5.0117 Å, c = 10.2389 Å, α = 90.00°, β = 90.00° and γ = 90.00°. The distinct sites, in fractional coordinates, are Ca at (0.0000, 0.0000, 0.0000), Zr at (0.0000, 0.0000, 0.4064), Zr at (0.0000, 0.5000, 0.2069) and Ni at (0.0000, 0.5000, 0.7261).

Entry 2:
VASP calculation (GGA-PBE) on Ac2Zn3Pt2 after structural relaxation.

As for the energy: -4.161 eV per atom. For the magnetization, the calculation gives 0.000 μB per atom. The value obtained for the formation enthalpy at 0 K is -715 meV per atom.

It has space group C2/m (No. 12), with a = 10.8733 Å, b = 4.2148 Å, c = 7.6417 Å, α = 90.00°, β = 115.09° and γ = 90.00°. The distinct sites, in fractional coordinates, are Ac at (0.1370, 0.0000, 0.2628), Zn at (0.0000, 0.5000, 0.5000), Zn at (0.1460, 0.5000, 0.9336) and Pt at (0.1394, 0.0000, 0.7033).

Entry 3:
VASP calculation (GGA-PBE) on Ba2Ga2Rh after structural relaxation.

Its relative energy among the computed polymorphs is 256 meV/atom. As for the energy: -3.640 eV per atom. For the magnetization, the calculation gives 0.000 μB per atom. The value obtained for the formation enthalpy at 0 K is -190 meV per atom.

It has space group P4/mbm (No. 127), with a = 7.0091 Å, b = 7.0091 Å, c = 5.4198 Å, α = 90.00°, β = 90.00° and γ = 90.00°. The distinct sites, in fractional coordinates, are Ba at (0.1842, 0.3158, 0.0000), Ga at (0.1401, 0.6401, 0.5000) and Rh at (0.0000, 0.0000, 0.5000).

Entry 4:
VASP calculation (GGA-PBE) on Ti2GaBi2 after structural relaxation.

Its relative energy among the computed polymorphs is 0 meV/atom. As for the energy: -5.399 eV per atom. For the magnetization, the calculation gives 0.000 μB per atom. The value obtained for the formation enthalpy at 0 K is -83 meV per atom.

It has space group P4/mbm (No. 127), with a = 7.3468 Å, b = 7.3468 Å, c = 4.0366 Å, α = 90.00°, β = 90.00° and γ = 90.00°. The distinct sites, in fractional coordinates, are Ti at (0.1462, 0.3538, 0.0000), Ga at (0.0000, 0.0000, 0.0000) and Bi at (0.1590, 0.6590, 0.5000).

Entry 5:
VASP calculation (GGA-PBE) on NaHoSnPd after structural relaxation.

As for the energy: -4.202 eV per atom. For the magnetization, the calculation gives 0.000 μB per atom. The value obtained for the formation enthalpy at 0 K is -429 meV per atom.

It has space group F-43m (No. 216), with a = 7.1339 Å, b = 7.1339 Å, c = 7.1339 Å, α = 90.00°, β = 90.00° and γ = 90.00°. The distinct sites, in fractional coordinates, are Na at (0.0000, 0.0000, 0.0000), Ho at (0.0000, 0.0000, 0.5000), Sn at (0.2500, 0.2500, 0.2500) and Pd at (0.2500, 0.2500, 0.7500).

Entry 6:
VASP calculation (GGA-PBE) on Tc2AuCl after structural relaxation.

The uncorrected formation energy comes out at 0.7781 eV/atom. Its relative energy among the computed polymorphs is 692 meV/atom. As for the energy: -5.686 eV per atom. For the magnetization, the calculation gives 0.000 μB per atom.

It has space group P4/mmm (No. 123), with a = 3.0123 Å, b = 3.0123 Å, c = 6.6621 Å, α = 90.00°, β = 90.00° and γ = 90.00°. The distinct sites, in fractional coordinates, are Tc at (0.0000, 0.0000, 0.2228), Au at (0.5000, 0.5000, 0.5000) and Cl at (0.5000, 0.5000, 0.0000).

Entry 7:
VASP calculation (GGA-PBE) on La4PmY3 after structural relaxation.

Its relative energy among the computed polymorphs is 5 meV/atom. As for the energy: -5.453 eV per atom. For the magnetization, the calculation gives 0.000 μB per atom. The value obtained for the formation enthalpy at 0 K is 28 meV per atom.

It has space group Pmn2_1 (No. 31), with a = 11.7957 Å, b = 7.3976 Å, c = 6.4367 Å, α = 90.00°, β = 90.00° and γ = 90.00°. The distinct sites, in fractional coordinates, are La at (0.0000, 0.1275, 0.0000), La at (0.0000, 0.8732, 0.4875), La at (0.2459, 0.8767, 0.8166), Pm at (0.0000, 0.3741, 0.4887), Y at (0.0000, 0.6206, 0.9878) and Y at (0.2501, 0.3787, 0.8198).

Entry 8:
VASP calculation (GGA-PBE) on Tm3AgTe6 after structural relaxation.

The uncorrected formation energy comes out at -0.9230 eV/atom. As for the energy: -4.435 eV per atom. For the magnetization, the calculation gives 0.000 μB per atom.

It has space group Cmc2_1 (No. 36), with a = 12.1953 Å, b = 13.5276 Å, c = 7.5527 Å, α = 90.00°, β = 90.00° and γ = 90.00°. The distinct sites, in fractional coordinates, are Tm at (0.0000, 0.0999, 0.0000), Tm at (0.1723, 0.4040, 0.0955), Ag at (0.0000, 0.2691, 0.6366), Te at (0.0000, 0.2717, 0.2692), Te at (0.0000, 0.4617, 0.7999), Te at (0.1649, 0.0403, 0.2997) and Te at (0.1844, 0.2219, 0.8335).